# LaBe2Ag PBE-GGA relaxed
# - DFT total energy: -14.71 eV per cell
# - Polymorph energy (0 for the lowest one): 110 meV per atom
# - Formation energy from the elements: 0.131 eV per atom
# - Total moment: 0.00 μB per formula unit
data_LaBe2Ag
_symmetry_space_group_name_H-M 'P 1 m 1'
_symmetry_Int_Tables_number 6
_symmetry_space_group_name_Hall 'P -2y'
_cell_length_a 3.446
_cell_length_b 3.786
_cell_length_c 5.918
_cell_angle_alpha 90.00
_cell_angle_beta 106.83
_cell_angle_gamma 90.00
loop_
_atom_site_label
_atom_site_type_symbol
_atom_site_fract_x
_atom_site_fract_y
_atom_site_fract_z
_atom_site_occupancy
La1 La 0.000 0.000 0.000 1
Be1 Be 0.276 0.000 0.552 1
Be2 Be 0.365 0.500 0.727 1
Ag1 Ag 0.721 0.500 0.438 1